Record 1
# Pm12Er3Sc

A geometry-optimized Pm12Er3Sc structure (PBE-GGA, Alexandria).

```
Pm12Er3Sc
1.0
5.0927 0.0000 0.0000
0.0000 5.0927 0.0000
0.0000 0.0000 20.3185
Pm Er Sc
12 3 1
Cartesian
0.0000 0.0000 0.0000
0.0000 0.0000 5.0376
0.0000 0.0000 10.1592
0.0000 0.0000 15.2809
0.0000 2.5463 2.4773
0.0000 2.5463 7.5993
0.0000 2.5463 12.7191
0.0000 2.5463 17.8411
2.5463 0.0000 2.4773
2.5463 0.0000 7.5993
2.5463 0.0000 12.7191
2.5463 0.0000 17.8411
2.5463 2.5463 5.0397
2.5463 2.5463 10.1592
2.5463 2.5463 15.2787
2.5463 2.5463 0.0000
```

DFT formation energy: 0.02 eV per atom
DOS(E_F): 23.45 states/eV/f.u.

Record 2
# PmEr2Sc

A geometry-optimized PmEr2Sc structure (PBE-GGA, Alexandria).

```
PmEr2Sc
1.0
3.4899 0.0000 0.0000
0.0000 3.4899 0.0000
0.0000 0.0000 9.8297
Pm Er Sc
1 2 1
Cartesian
0.0000 0.0000 0.0000
1.7450 1.7450 2.5988
1.7450 1.7450 7.2310
0.0000 0.0000 4.9149
```

DFT formation energy: 0.05 eV per atom
DOS(E_F): 6.29 states/eV/f.u.
offset from the most stable computed form: 0.09 eV/f.u.

Record 3
# Pm4Er5Sc2

A geometry-optimized Pm4Er5Sc2 structure (PBE-GGA, Alexandria).

```
Pm4Er5Sc2
1.0
11.7408 -1.7422 0.0000
11.7408 1.7422 0.0000
-0.7255 0.0000 8.4657
Pm Er Sc
4 5 2
Cartesian
0.6602 0.0000 2.9295
6.3552 0.0000 1.4846
16.4009 0.0000 6.9811
22.0960 0.0000 5.5363
2.9965 0.0000 0.3341
3.9567 0.0000 4.0216
11.7408 0.0000 0.0000
18.7994 0.0000 4.4442
19.7597 0.0000 8.1316
9.4534 0.0000 2.5600
13.3028 0.0000 5.9057
```

DFT formation energy: 0.12 eV per atom
DOS(E_F): 16.88 states/eV/f.u.

Record 4
# Pm8ErSc4

A geometry-optimized Pm8ErSc4 structure (PBE-GGA, Alexandria).

```
Pm8ErSc4
1.0
3.4907 2.0154 9.6875
-3.4907 2.0154 9.6875
0.0000 -4.0307 9.6875
Pm Er Sc
8 1 4
Cartesian
0.0000 0.0000 6.1392
-1.8495 -1.0678 16.7201
0.0000 -2.1356 12.3424
-1.8495 1.0678 12.3424
1.8495 -1.0678 16.7201
0.0000 2.1356 16.7201
1.8495 1.0678 12.3424
0.0000 0.0000 22.9234
0.0000 0.0000 14.5313
0.0000 0.0000 0.0000
-1.7453 -1.0077 9.6875
-1.7453 1.0077 19.3750
0.0000 2.0154 9.6875
```

DFT formation energy: 0.24 eV per atom
DOS(E_F): 16.54 states/eV/f.u.

Record 5
# Pm2Er12Sc5

A geometry-optimized Pm2Er12Sc5 structure (PBE-GGA, Alexandria).

```
Pm2Er12Sc5
1.0
8.3877 -5.5275 0.0000
8.3877 5.5275 0.0000
-1.2596 0.0000 6.1152
Pm Er Sc
2 12 5
Cartesian
8.3877 3.1795 0.0000
8.3877 -3.1795 0.0000
4.0147 2.3559 4.9811
6.0981 2.8389 2.5112
1.4705 0.0000 5.7565
9.4177 2.8389 3.6039
6.4903 0.0000 4.4531
11.5011 2.3559 1.1340
4.0147 -2.3559 4.9811
9.0255 0.0000 1.6621
6.0981 -2.8389 2.5112
14.0453 0.0000 0.3586
9.4177 -2.8389 3.6039
11.5011 -2.3559 1.1340
-0.6298 0.0000 3.0576
3.1154 0.0000 2.8766
5.7267 0.0000 1.1033
9.7891 0.0000 5.0119
12.4004 0.0000 3.2386
```

DFT formation energy: 0.13 eV per atom
DOS(E_F): 29.95 states/eV/f.u.

Record 6
# PmErSc2

A geometry-optimized PmErSc2 structure (PBE-GGA, Alexandria).

```
PmErSc2
1.0
1.7259 0.9964 10.9859
-1.7259 0.9964 10.9859
0.0000 -1.9929 10.9859
Pm Er Sc
1 1 2
Cartesian
0.0000 0.0000 0.0000
0.0000 0.0000 5.4610
0.0000 0.0000 19.1506
0.0000 0.0000 24.7482
```

DFT formation energy: 0.07 eV per atom
DOS(E_F): 6.41 states/eV/f.u.
offset from the most stable computed form: 0.07 eV/f.u.

Record 7
# Pm4Er3Sc

A geometry-optimized Pm4Er3Sc structure (PBE-GGA, Alexandria).

```
Pm4Er3Sc
1.0
-1.8298 2.7047 13.0944
1.8298 -2.7047 13.0944
1.8298 2.7047 -13.0944
Pm Er Sc
4 3 1
Cartesian
0.0000 0.0000 2.4842
0.0000 0.0000 5.7072
0.0000 0.0000 20.4816
0.0000 0.0000 23.7046
0.0000 0.0000 9.4194
0.0000 2.7047 0.0000
0.0000 0.0000 16.7694
1.8298 0.0000 0.0000
```

DFT formation energy: 0.16 eV per atom
DOS(E_F): 12.77 states/eV/f.u.
offset from the most stable computed form: 0.98 eV/f.u.

Record 8
# Pm2ErSc

A geometry-optimized Pm2ErSc structure (PBE-GGA, Alexandria).

```
Pm2ErSc
1.0
3.3742 0.0000 0.0000
0.0000 5.6752 0.0000
0.0000 0.0000 13.0247
Pm Er Sc
4 2 2
Cartesian
0.8435 1.4188 2.4284
0.8435 4.2564 4.0198
2.5306 1.4188 9.0049
2.5306 4.2564 10.5963
0.8435 4.2564 7.4139
2.5306 1.4188 5.6107
0.8435 4.2564 0.5313
2.5306 1.4188 12.4934
```

DFT formation energy: 0.19 eV per atom
DOS(E_F): 8.54 states/eV/f.u.
offset from the most stable computed form: 0.61 eV/f.u.